1.
Entry from Alexandria via LeMat-Bulk: Ac6BiIr3 after structural relaxation (PBE).

a b c (Å): 4.4888 12.8933 12.6014
angles (deg): 107.37 90.00 90.00
Element x y z (fractional)
Ac 0.7500 0.0855 0.9216
Ac 0.7500 0.4639 0.1481
Ac 0.7500 0.2605 0.7050
Ir 0.7500 0.8361 0.4562
Bi 0.7500 0.6901 0.0536
Ir 0.7500 0.0814 0.1562
Ac 0.2500 0.2338 0.2120
Ac 0.7500 0.6101 0.4744
Ac 0.7500 0.7662 0.7880
Ac 0.7500 0.0524 0.3915
Ac 0.2500 0.9145 0.0784
Ir 0.2500 0.1639 0.5438
Ac 0.2500 0.9476 0.6085
Ir 0.7500 0.4954 0.6781
Ac 0.2500 0.5361 0.8519
Bi 0.2500 0.3099 0.9464
Ir 0.2500 0.5046 0.3219
Ac 0.2500 0.3899 0.5256
Ac 0.2500 0.7395 0.2950
Ir 0.2500 0.9186 0.8438

Total energy (eV per cell): -123.9
Magnetic moment (Bohr magnetons per cell): 0.00
DFT formation energy (eV per formula unit): -6.8

---

2.
Entry from Alexandria via LeMat-Bulk: AcBiIr after structural relaxation (PBE).

a b c (Å): 4.5463 5.5824 7.6724
angles (deg): 110.65 90.00 90.00
Element x y z (fractional)
Ir 0.8613 0.7365 0.2509
Bi 0.8613 0.1670 0.5657
Ir 0.8613 0.2761 0.2436
Bi 0.8613 0.8456 0.9288
Ac 0.3613 0.3731 0.9862
Ac 0.3613 0.6395 0.5083

Total energy (eV per cell): -36.7
Relative energy among the computed polymorphs (kJ/mol of atoms): 0.00
Magnetic moment (Bohr magnetons per cell): 0.00
DFT formation energy (eV per formula unit): -1.5

---

3.
Entry from Alexandria via LeMat-Bulk: AcBi3Ir after structural relaxation (PBE).

a b c (Å): 5.4590 5.4590 5.4590
angles (deg): 90.00 90.00 90.00
Element x y z (fractional)
Bi 0.5000 0.0000 0.0000
Bi 0.0000 0.5000 0.0000
Ac 0.5000 0.5000 0.5000
Bi 0.0000 0.0000 0.5000
Ir 0.0000 0.0000 0.0000

Total energy (eV per cell): -24.4
Relative energy among the computed polymorphs (kJ/mol of atoms): 35.07
Magnetic moment (Bohr magnetons per cell): 0.00
DFT formation energy (eV per formula unit): 0.2

---

4.
Entry from Alexandria via LeMat-Bulk: AcBiIr after structural relaxation (PBE).

a b c (Å): 4.1838 4.1838 6.0857
angles (deg): 110.10 110.10 90.00
Element x y z (fractional)
Ac 0.6572 0.6572 0.3145
Bi 0.9681 0.9681 0.9363
Ir 0.2246 0.2246 0.4492

Total energy (eV per cell): -17.2
Relative energy among the computed polymorphs (kJ/mol of atoms): 36.13
Magnetic moment (Bohr magnetons per cell): 0.00
DFT formation energy (eV per formula unit): -0.4

---

5.
Entry from Alexandria via LeMat-Bulk: AcBiIr2 after structural relaxation (PBE).

a b c (Å): 4.0093 4.7793 4.7793
angles (deg): 90.00 90.00 90.00
Element x y z (fractional)
Ac 0.5000 0.0000 0.0000
Ir 0.0000 0.0000 0.5000
Ir 0.0000 0.5000 0.0000
Bi 0.5000 0.5000 0.5000

Total energy (eV per cell): -25.8
Magnetic moment (Bohr magnetons per cell): 0.00
DFT formation energy (eV per formula unit): -0.1

---

6.
Entry from Alexandria via LeMat-Bulk: Ac2BiIr after structural relaxation (PBE).

a b c (Å): 5.5964 5.5964 5.5964
angles (deg): 60.00 60.00 60.00
Element x y z (fractional)
Ir 0.5000 0.5000 0.5000
Bi 0.0000 0.0000 0.0000
Ac 0.7500 0.7500 0.7500
Ac 0.2500 0.2500 0.2500

Total energy (eV per cell): -22.7
Relative energy among the computed polymorphs (kJ/mol of atoms): 15.89
Magnetic moment (Bohr magnetons per cell): 0.00
DFT formation energy (eV per formula unit): -1.8

---

| no. | D(E_F) (states/eV per atom) |
| --- | --- |
| 1 | 0.57 |
| 2 | 0.87 |
| 3 | 1.40 |
| 4 | 0.39 |
| 5 | 0.55 |
| 6 | 0.33 |